# 1
Here is a geometry-optimized BaSi2Tc structure from Alexandria. Energies are from PBE.

Cell and atoms, written as extended XYZ:
```
4
Lattice="1.6521 0.9538 8.7342 -1.6521 0.9538 8.7342 0.0000 -1.9077 8.7342" Properties=species:S:1:pos:R:3 pbc="T T T"
Ba 0.0000 0.0000 0.0000
Si 0.0000 0.0000 5.8488
Si 0.0000 0.0000 12.9062
Tc 0.0000 0.0000 20.0868
```

Computed properties:
The space group is No. 160. The uncorrected energy comes out at -5.207 eV per atom. Its formation energy without anion corrections is 55.6 kJ per mole of atoms.

=====

# 2
Here is a geometry-optimized YTeP2 structure from Alexandria. Energies are from PBE.

Cell and atoms, written as extended XYZ:
```
4
Lattice="4.0189 0.0000 0.0000 0.0000 4.0189 0.0000 0.0000 0.0000 5.8306" Properties=species:S:1:pos:R:3 pbc="T T T"
Y 0.0000 0.0000 0.0000
Te 2.0095 2.0095 2.9164
P 0.0000 0.0000 2.9148
P 2.0095 2.0095 5.8246
```

Computed properties:
The space group is No. 99. The uncorrected energy comes out at -5.652 eV per atom. Its formation energy without anion corrections is -52.7 kJ per mole of atoms.

=====

# 3
Here is a geometry-optimized MnV3Zn structure from Alexandria. Energies are from PBE.

Cell and atoms, written as extended XYZ:
```
5
Lattice="4.5621 0.0000 0.0000 0.0000 4.5621 0.0000 0.0000 0.0000 4.5621" Properties=species:S:1:pos:R:3 pbc="T T T"
Mn 0.0000 0.0000 0.0000
V 0.0000 2.2811 2.2811
V 2.2811 0.0000 2.2811
V 2.2811 2.2811 0.0000
Zn 2.2811 2.2811 2.2811
```

Computed properties:
The formation energy comes out at 1.401 eV/atom. The space group is No. 221. The uncorrected energy comes out at -6.159 eV per atom.

=====

# 4
Here is a geometry-optimized Mg2CdAg structure from Alexandria. Energies are from PBE.

Cell and atoms, written as extended XYZ:
```
4
Lattice="0.0000 3.4095 3.4095 3.4095 0.0000 3.4095 3.4095 3.4095 0.0000" Properties=species:S:1:pos:R:3 pbc="T T T"
Mg 1.7048 1.7048 1.7048
Mg 5.1143 5.1143 5.1143
Cd 0.0000 0.0000 0.0000
Ag 3.4095 3.4095 3.4095
```

Computed properties:
The formation energy comes out at -0.164 eV/atom. The space group is No. 225. The uncorrected energy comes out at -1.903 eV per atom.

=====

# 5
Here is a geometry-optimized ScB2S2 structure from Alexandria. Energies are from PBE.

Cell and atoms, written as extended XYZ:
```
5
Lattice="-2.2136 2.2136 3.2541 2.2136 -2.2136 3.2541 2.2136 2.2136 -3.2541" Properties=species:S:1:pos:R:3 pbc="T T T"
Sc 0.0000 0.0000 0.0000
B 0.0000 0.0000 2.3895
B 0.0000 0.0000 4.1186
S 2.2136 0.0000 1.6270
S 0.0000 2.2136 1.6270
```

Computed properties:
The space group is No. 139. The uncorrected energy comes out at -5.541 eV per atom. Its formation energy without anion corrections is 4.6 kJ per mole of atoms.

=====

# 6
Here is a geometry-optimized Li3OsCl structure from Alexandria. Energies are from PBE.

Cell and atoms, written as extended XYZ:
```
5
Lattice="4.4374 0.0000 0.0000 0.0000 4.4374 0.0000 0.0000 0.0000 4.4374" Properties=species:S:1:pos:R:3 pbc="T T T"
Li 0.0000 0.0000 2.2187
Li 0.0000 2.2187 0.0000
Li 2.2187 0.0000 0.0000
Os 2.2187 2.2187 2.2187
Cl 0.0000 0.0000 0.0000
```

Computed properties:
The space group is No. 221. The uncorrected energy comes out at -3.441 eV per atom. Its formation energy without anion corrections is 31.2 kJ per mole of atoms.

=====

# 7
Here is a geometry-optimized ErCdGaAu structure from Alexandria. Energies are from PBE.

Cell and atoms, written as extended XYZ:
```
4
Lattice="0.0000 3.4556 3.4556 3.4556 0.0000 3.4556 3.4556 3.4556 0.0000" Properties=species:S:1:pos:R:3 pbc="T T T"
Er 0.0000 0.0000 0.0000
Cd 3.4556 3.4556 3.4556
Ga 5.1833 5.1833 5.1833
Au 1.7278 1.7278 1.7278
```

Computed properties:
The formation energy comes out at -0.509 eV/atom. The space group is No. 216. The uncorrected energy comes out at -3.455 eV per atom.

=====

# 8
Here is a geometry-optimized NaCaCd2 structure from Alexandria. Energies are from PBE.

Cell and atoms, written as extended XYZ:
```
4
Lattice="0.0000 3.8013 3.8013 3.8013 0.0000 3.8013 3.8013 3.8013 0.0000" Properties=species:S:1:pos:R:3 pbc="T T T"
Na 0.0000 0.0000 0.0000
Ca 3.8013 3.8013 3.8013
Cd 1.9006 1.9006 1.9006
Cd 5.7019 5.7019 5.7019
```

Computed properties:
The formation energy comes out at -0.178 eV/atom. The space group is No. 225. The uncorrected energy comes out at -1.466 eV per atom.

=====

Fermi-level density of states, respectively: 0.612; 0.483; 2.074; 0.281; 0.476; 1.304; 0.757; 0.854 states/eV per atom.